Material: Ac2Nd4Pb3N2
Method: DFT, GGA-PBE
State: optimized geometry

a = 13.909 Å, b = 13.909 Å, c = 13.909 Å
α = 159.35°, β = 159.35°, γ = 29.36°
Element x y z (fractional)
1 Ac 0.191 0.191 0.000
2 Ac 0.809 0.809 0.000
3 Nd 0.082 0.582 0.500
4 Nd 0.418 0.918 0.500
5 Nd 0.582 0.082 0.500
6 Nd 0.918 0.418 0.500
7 Pb 0.328 0.328 0.000
8 Pb 0.500 0.500 0.000
9 Pb 0.672 0.672 0.000
10 N 0.100 0.100 0.000
11 N 0.900 0.900 0.000

Output
DOS(E_F): 2.019 states/eV/f.u.
Space-group type: I4/mmm (139)
E_tot: -5.8433 eV per atom
Calculated density: 8.34 g/cm³
Formation energy from raw total energies: -0.837 eV per atom

=====

Material: Dy2Er3TmSe6
Method: DFT, GGA-PBE
State: optimized geometry

a = 9.043 Å, b = 9.043 Å, c = 8.124 Å
α = 103.20°, β = 103.20°, γ = 25.78°
Element x y z (fractional)
1 Dy 0.168 0.168 0.335
2 Dy 0.832 0.832 0.665
3 Er 0.168 0.168 0.833
4 Er 0.500 0.500 0.500
5 Er 0.832 0.832 0.167
6 Tm 0.500 0.500 0.000
7 Se 0.001 0.001 0.752
8 Se 0.335 0.335 0.415
9 Se 0.335 0.335 0.920
10 Se 0.665 0.665 0.080
11 Se 0.665 0.665 0.585
12 Se 0.999 0.999 0.248

Output
DOS(E_F): 5.556 states/eV/f.u.
Space-group type: C2/m (12)
E_tot: -5.7282 eV per atom
Calculated density: 8.69 g/cm³
Formation energy from raw total energies: -1.706 eV per atom